Record 1
Density functional theory data (PBE) for crystalline SmTmCO at its relaxed geometry.

Lattice parameters (Å, degrees): 3.1433 3.3172 11.9966 90.00 90.00 90.00
Space group Imm2 (No. 44)
Unique sites:
Sm1 0.0000 0.0000 0.0000 x2
Tm1 0.0000 0.5000 0.2519 x2
C1 0.0000 0.5000 0.8409 x2
O1 0.0000 0.0000 0.5970 x2

Summary:
For the final energy, the calculation gives -7.048 eV per atom. The value obtained for the density of states at the Fermi level is 0.32 states/eV/atom.

---

Record 2
Density functional theory data (PBE) for crystalline Sm2LuSc at its relaxed geometry.

Lattice parameters (Å, degrees): 3.5598 3.5598 9.5140 90.00 90.00 90.00
Space group P4/mmm (No. 123)
Unique sites:
Sm1 0.0000 0.0000 0.2415 x2
Lu1 0.5000 0.5000 0.5000 x1
Sc1 0.5000 0.5000 0.0000 x1

Summary:
The value obtained for the density of states at the Fermi level is 1.53 states/eV/atom. The value obtained for the energy of formation is 41 meV/atom.

---

Record 3
Density functional theory data (PBE) for crystalline Tl3In6Hg5 at its relaxed geometry.

Lattice parameters (Å, degrees): 4.8408 15.1872 10.9202 90.00 90.00 90.00
Space group Pmmn (No. 59, origin choice 2)
Unique sites:
Tl1 0.2500 0.0778 0.2406 x4
Tl2 0.2500 0.7500 0.2287 x2
In1 0.2500 0.0480 0.5695 x4
In2 0.2500 0.2500 0.0159 x2
In3 0.2500 0.2500 0.5663 x2
In4 0.2500 0.5859 0.9983 x4
Hg1 0.2500 0.0886 0.8329 x4
Hg2 0.2500 0.6503 0.5629 x4
Hg3 0.2500 0.7500 0.8129 x2

Summary:
The value obtained for the density of states at the Fermi level is 0.37 states/eV/atom. The value obtained for the energy of formation is 16 meV/atom.

---

Record 4
Density functional theory data (PBE) for crystalline HoTmPbO2 at its relaxed geometry.

Lattice parameters (Å, degrees): 3.8077 3.8077 14.0711 90.00 90.00 90.00
Space group I4mm (No. 107)
Unique sites:
Ho1 0.0000 0.0000 0.0000 x2
Tm1 0.0000 0.0000 0.3431 x2
Pb1 0.0000 0.0000 0.6719 x2
O1 0.0000 0.5000 0.4199 x4

Summary:
For the final energy, the calculation gives -7.124 eV per atom. The value obtained for the density of states at the Fermi level is 0.36 states/eV/atom.